[1]
Na3IrCl6: optimized geometry, PBE.

Results
raw formation energy = -1165 meV per atom
magnetization = 0.00 μB/cell
density = 3.01 Mg/m³
calculated total energy = -3.555 eV per atom
relative energy among the computed polymorphs = 83 meV/atom

Geometry as CIF:
```
data_Na3IrCl6
_chemical_formula_sum 'Na12 Ir4 Cl24'
_cell_length_a 8.350
_cell_length_b 9.925
_cell_length_c 12.626
_cell_angle_alpha 90.00
_cell_angle_beta 90.00
_cell_angle_gamma 90.00
_symmetry_space_group_name_H-M 'F m m m'
_symmetry_Int_Tables_number 69
_symmetry_space_group_name_Hall '-F 2 2'
loop_
_atom_site_label
_atom_site_type_symbol
_atom_site_fract_x
_atom_site_fract_y
_atom_site_fract_z
Na1 Na 0.000 0.000 0.000
Na2 Na 0.250 0.250 0.250
Ir1 Ir 0.000 0.000 0.500
Cl1 Cl 0.000 0.237 0.500
Cl2 Cl 0.202 0.000 0.369
```

***

[2]
Na2IrCl5: optimized geometry, PBE.

Results
raw formation energy = -972 meV per atom
magnetization = 0.00 μB/cell
density = 2.61 Mg/m³
calculated total energy = -3.563 eV per atom
relative energy among the computed polymorphs = 75 meV/atom

Geometry as CIF:
```
data_Na2IrCl5
_chemical_formula_sum 'Na4 Ir2 Cl10'
_cell_length_a 11.352
_cell_length_b 7.329
_cell_length_c 7.347
_cell_angle_alpha 90.00
_cell_angle_beta 120.29
_cell_angle_gamma 90.00
_symmetry_space_group_name_H-M 'C 1 m 1'
_symmetry_Int_Tables_number 8
_symmetry_space_group_name_Hall 'C -2y'
loop_
_atom_site_label
_atom_site_type_symbol
_atom_site_fract_x
_atom_site_fract_y
_atom_site_fract_z
Na1 Na 0.000 0.000 0.000
Na2 Na 0.014 0.500 0.476
Ir1 Ir 0.113 0.500 0.061
Cl1 Cl 0.068 0.273 0.807
Cl2 Cl 0.128 0.275 0.300
Cl3 Cl 0.341 0.500 0.199
```

***

[3]
Na2IrCl4: optimized geometry, PBE.

Results
raw formation energy = -964 meV per atom
magnetization = 2.01 μB/cell
density = 3.57 Mg/m³
calculated total energy = -3.662 eV per atom

Geometry as CIF:
```
data_Na2IrCl4
_chemical_formula_sum 'Na4 Ir2 Cl8'
_cell_length_a 6.841
_cell_length_b 6.841
_cell_length_c 7.548
_cell_angle_alpha 90.00
_cell_angle_beta 90.00
_cell_angle_gamma 90.00
_symmetry_space_group_name_H-M 'I 4/m m m'
_symmetry_Int_Tables_number 139
_symmetry_space_group_name_Hall '-I 4 2'
loop_
_atom_site_label
_atom_site_type_symbol
_atom_site_fract_x
_atom_site_fract_y
_atom_site_fract_z
Na1 Na 0.000 0.500 0.250
Ir1 Ir 0.000 0.000 0.000
Cl1 Cl 0.239 0.239 0.000
```

***

[4]
NaIrCl2: optimized geometry, PBE.

Results
raw formation energy = 63 meV per atom
magnetization = 4.03 μB/cell
density = 4.65 Mg/m³
calculated total energy = -3.406 eV per atom
relative energy among the computed polymorphs = 343 meV/atom

Geometry as CIF:
```
data_NaIrCl2
_chemical_formula_sum 'Na3 Ir3 Cl6'
_cell_length_a 3.9072
_cell_length_b 3.9072
_cell_length_c 23.1698
_cell_angle_alpha 90.00
_cell_angle_beta 90.00
_cell_angle_gamma 120.00
_symmetry_space_group_name_H-M 'R -3 m'
_symmetry_Int_Tables_number 166
_symmetry_space_group_name_Hall '-R 3 2"'
loop_
_atom_site_label
_atom_site_type_symbol
_atom_site_fract_x
_atom_site_fract_y
_atom_site_fract_z
Na1 Na 0.0000 0.0000 0.0000
Ir1 Ir 0.0000 0.0000 0.5000
Cl1 Cl 0.0000 0.0000 0.1168
```